GGA-PBE TaSbTe3, optimized geometry; polymorph energy (0 for the lowest one) = 0 meV per atom; raw formation energy = 143.0 meV per atom
1.0
-4.8896 -0.5878 -2.8529
2.2675 -6.9492 -2.4528
-3.9326 0.6655 6.6002
Sb Te Ta
2 6 2
Cartesian
-3.0897 -2.0187 2.8682
-3.4653 -4.8527 -1.5732
-0.0728 -5.7229 -1.5331
-4.6764 -1.4539 -0.2012
-6.4818 -1.1485 2.8276
-5.4408 -4.3379 1.7020
-1.8782 -5.4177 1.4957
-1.1138 -2.5336 -0.4077
-0.1773 -7.2430 -3.8792
0.0000 0.0000 0.0000